No. 1
! SmPaW | OQMD | PBE | optimized geometry; values from VASP
&SYSTEM
  ibrav = 0, nat = 3, ntyp = 3
/
ATOMIC_SPECIES
Sm 150.36 Sm.upf
Pa 231.04 Pa.upf
W 183.84 W.upf
CELL_PARAMETERS angstrom
0.000 3.437 3.437
3.437 0.000 3.437
3.437 3.437 0.000
ATOMIC_POSITIONS angstrom
Sm 0.000 0.000 0.000
Pa 3.437 3.437 3.437
W 1.718 1.718 1.718
! Energy above the lowest structure with this stoichiometry in meV/atom: 0.0
! Space group: No. 216
! Volume in Å³/cell: 81.18
! Total energy in eV/atom: -8.39
! Mass density in g/cm³: 11.56
! Total magnetization in μB per formula unit: 0.0
! DFT formation energy in meV per atom: 664

***

No. 2
! SmZrPa | OQMD | PBE | optimized geometry; values from VASP
&SYSTEM
  ibrav = 0, nat = 3, ntyp = 3
/
ATOMIC_SPECIES
Sm 150.36 Sm.upf
Zr 91.22 Zr.upf
Pa 231.04 Pa.upf
CELL_PARAMETERS angstrom
0.000 3.593 3.593
3.593 0.000 3.593
3.593 3.593 0.000
ATOMIC_POSITIONS angstrom
Sm 0.000 0.000 0.000
Zr 3.593 3.593 3.593
Pa 1.797 1.797 1.797
! Energy above the lowest structure with this stoichiometry in meV/atom: 0.0
! Space group: No. 216
! Volume in Å³/cell: 92.79
! Total energy in eV/atom: -6.46
! Mass density in g/cm³: 8.46
! Total magnetization in μB per formula unit: 1.6
! DFT formation energy in meV per atom: 1128

***

No. 3
! PaSn3 | OQMD | PBE | optimized geometry; values from VASP
&SYSTEM
  ibrav = 0, nat = 4, ntyp = 2
/
ATOMIC_SPECIES
Pa 231.04 Pa.upf
Sn 118.71 Sn.upf
CELL_PARAMETERS angstrom
4.652 0.000 0.000
0.000 4.652 0.000
0.000 0.000 4.652
ATOMIC_POSITIONS angstrom
Pa 0.000 0.000 0.000
Sn 0.000 2.326 2.326
Sn 2.326 0.000 2.326
Sn 2.326 2.326 0.000
! Space group: No. 221
! Volume in Å³/cell: 100.67
! Total energy in eV/atom: -5.69
! Mass density in g/cm³: 9.69
! Total magnetization in μB per formula unit: 0.0

***

No. 4
! PaSn2 | OQMD | PBE | optimized geometry; values from VASP
&SYSTEM
  ibrav = 0, nat = 6, ntyp = 2
/
ATOMIC_SPECIES
Pa 231.04 Pa.upf
Sn 118.71 Sn.upf
CELL_PARAMETERS angstrom
0.000 6.876 6.876
6.876 0.000 6.876
6.876 6.876 0.000
ATOMIC_POSITIONS angstrom
Pa 1.719 1.719 1.719
Pa 12.033 12.033 12.033
Sn 0.000 0.000 0.000
Sn 3.438 3.438 0.000
Sn 3.438 0.000 3.438
Sn 0.000 3.438 3.438
! Space group: No. 227
! Volume in Å³/cell: 650.21
! Total energy in eV/atom: -4.20
! Mass density in g/cm³: 2.39
! Total magnetization in μB per formula unit: 2.3

***

No. 5
! TbPaSn | OQMD | PBE | optimized geometry; values from VASP
&SYSTEM
  ibrav = 0, nat = 3, ntyp = 3
/
ATOMIC_SPECIES
Tb 158.93 Tb.upf
Pa 231.04 Pa.upf
Sn 118.71 Sn.upf
CELL_PARAMETERS angstrom
0.000 3.627 3.627
3.627 0.000 3.627
3.627 3.627 0.000
ATOMIC_POSITIONS angstrom
Tb 0.000 0.000 0.000
Pa 3.627 3.627 3.627
Sn 5.441 5.441 5.441
! Energy above the lowest structure with this stoichiometry in meV/atom: 0.0
! Space group: No. 216
! Volume in Å³/cell: 95.43
! Total energy in eV/atom: -5.85
! Mass density in g/cm³: 8.85
! Total magnetization in μB per formula unit: 1.8

***

No. 6
! PaTcSn | OQMD | PBE | optimized geometry; values from VASP
&SYSTEM
  ibrav = 0, nat = 6, ntyp = 3
/
ATOMIC_SPECIES
Pa 231.04 Pa.upf
Tc 98.00 Tc.upf
Sn 118.71 Sn.upf
CELL_PARAMETERS angstrom
5.706 -2.418 0.000
5.706 2.418 0.000
-1.043 0.000 4.912
ATOMIC_POSITIONS angstrom
Pa 1.240 0.000 1.550
Pa 9.128 0.000 3.363
Tc 1.305 0.000 4.047
Tc 9.063 0.000 0.865
Sn 4.573 0.000 0.996
Sn 5.796 0.000 3.916
! Energy above the lowest structure with this stoichiometry in meV/atom: 0.0
! Space group: No. 12
! Volume in Å³/cell: 135.53
! Total energy in eV/atom: -8.34
! Mass density in g/cm³: 10.97
! Total magnetization in μB per formula unit: 0.0

***

No. 7
! PaSnTe | OQMD | PBE | optimized geometry; values from VASP
&SYSTEM
  ibrav = 0, nat = 3, ntyp = 3
/
ATOMIC_SPECIES
Pa 231.04 Pa.upf
Sn 118.71 Sn.upf
Te 127.60 Te.upf
CELL_PARAMETERS angstrom
0.000 3.593 3.593
3.593 0.000 3.593
3.593 3.593 0.000
ATOMIC_POSITIONS angstrom
Pa 0.000 0.000 0.000
Sn 3.593 3.593 3.593
Te 1.797 1.797 1.797
! Energy above the lowest structure with this stoichiometry in meV/atom: 0.0
! Space group: No. 216
! Volume in Å³/cell: 92.80
! Total energy in eV/atom: -5.48
! Mass density in g/cm³: 8.54
! Total magnetization in μB per formula unit: 1.0

***

No. 8
! PaTlSn | OQMD | PBE | optimized geometry; values from VASP
&SYSTEM
  ibrav = 0, nat = 3, ntyp = 3
/
ATOMIC_SPECIES
Pa 231.04 Pa.upf
Tl 204.38 Tl.upf
Sn 118.71 Sn.upf
CELL_PARAMETERS angstrom
0.000 3.612 3.612
3.612 0.000 3.612
3.612 3.612 0.000
ATOMIC_POSITIONS angstrom
Pa 0.000 0.000 0.000
Tl 3.612 3.612 3.612
Sn 1.806 1.806 1.806
! Energy above the lowest structure with this stoichiometry in meV/atom: 0.0
! Space group: No. 216
! Volume in Å³/cell: 94.21
! Total energy in eV/atom: -4.78
! Mass density in g/cm³: 9.77
! Total magnetization in μB per formula unit: 1.7

***

No. 9
! TmPaSn | OQMD | PBE | optimized geometry; values from VASP
&SYSTEM
  ibrav = 0, nat = 3, ntyp = 3
/
ATOMIC_SPECIES
Tm 168.93 Tm.upf
Pa 231.04 Pa.upf
Sn 118.71 Sn.upf
CELL_PARAMETERS angstrom
0.000 3.600 3.600
3.600 0.000 3.600
3.600 3.600 0.000
ATOMIC_POSITIONS angstrom
Tm 0.000 0.000 0.000
Pa 3.600 3.600 3.600
Sn 5.399 5.399 5.399
! Energy above the lowest structure with this stoichiometry in meV/atom: 0.0
! Space group: No. 216
! Volume in Å³/cell: 93.27
! Total energy in eV/atom: -5.77
! Mass density in g/cm³: 9.23
! Total magnetization in μB per formula unit: 1.8

***

No. 10
! UPaSn | OQMD | PBE | optimized geometry; values from VASP
&SYSTEM
  ibrav = 0, nat = 3, ntyp = 3
/
ATOMIC_SPECIES
U 238.03 U.upf
Pa 231.04 Pa.upf
Sn 118.71 Sn.upf
CELL_PARAMETERS angstrom
0.000 3.498 3.498
3.498 0.000 3.498
3.498 3.498 0.000
ATOMIC_POSITIONS angstrom
U 0.000 0.000 0.000
Pa 5.246 5.246 5.246
Sn 1.749 1.749 1.749
! Energy above the lowest structure with this stoichiometry in meV/atom: 0.0
! Space group: No. 216
! Volume in Å³/cell: 85.57
! Total energy in eV/atom: -7.56
! Mass density in g/cm³: 11.41
! Total magnetization in μB per formula unit: 5.1

***

No. 11
! PaZnSn | OQMD | PBE | optimized geometry; values from VASP
&SYSTEM
  ibrav = 0, nat = 3, ntyp = 3
/
ATOMIC_SPECIES
Pa 231.04 Pa.upf
Zn 65.41 Zn.upf
Sn 118.71 Sn.upf
CELL_PARAMETERS angstrom
0.000 3.509 3.509
3.509 0.000 3.509
3.509 3.509 0.000
ATOMIC_POSITIONS angstrom
Pa 0.000 0.000 0.000
Zn 1.755 1.755 1.755
Sn 5.264 5.264 5.264
! Space group: No. 216
! Volume in Å³/cell: 86.41
! Total energy in eV/atom: -4.55
! Mass density in g/cm³: 7.98
! Total magnetization in μB per formula unit: 1.0

***

No. 12
! PaZnSn | OQMD | PBE | optimized geometry; values from VASP
&SYSTEM
  ibrav = 0, nat = 3, ntyp = 3
/
ATOMIC_SPECIES
Pa 231.04 Pa.upf
Zn 65.41 Zn.upf
Sn 118.71 Sn.upf
CELL_PARAMETERS angstrom
0.000 3.318 3.318
3.318 0.000 3.318
3.318 3.318 0.000
ATOMIC_POSITIONS angstrom
Pa 0.000 0.000 0.000
Zn 1.659 1.659 1.659
Sn 3.318 3.318 3.318
! Space group: No. 216
! Volume in Å³/cell: 73.04
! Total energy in eV/atom: -4.84
! Mass density in g/cm³: 9.44
! Total magnetization in μB per formula unit: 0.6

***

> Which formula does entry 11 have?

PaZnSn

***

> Which formula does entry 12 have?

PaZnSn

***

> total energy of number 11 (PaZnSn)?

-4.55 eV/atom